A relaxed structure of Sr4MgMn2Cu3S4O4, computed with PBE+U.

Calculated values
Symmetry: C2
Electronic total energy: -5.32 eV per atom
Total magnetic moment: 9.826 Bohr magnetons per cell

POSCAR file:
```
Sr4MgMn2Cu3S4O4
1.0
-4.655 -4.360 6.515
7.411 5.194 -1.105
-3.027 5.196 1.722
Sr Mg Mn Cu S O
4 1 2 3 4 4
Direct
0.678 0.976 0.802 Sr
0.024 0.322 0.198 Sr
0.911 0.601 0.269 Sr
0.399 0.089 0.731 Sr
0.354 0.646 0.500 Mg
0.473 0.017 0.235 Mn
0.983 0.527 0.765 Mn
0.516 0.484 0.000 Cu
0.511 0.489 0.500 Cu
0.007 0.993 0.000 Cu
0.810 0.650 0.732 S
0.350 0.190 0.268 S
0.663 0.790 0.228 S
0.210 0.337 0.772 S
0.756 0.244 0.000 O
0.242 0.758 0.500 O
0.242 0.758 0.000 O
0.760 0.240 0.500 O
```



A relaxed structure of AlCoPdF6, computed with PBE+U.

Calculated values
Symmetry: P-31c
Electronic total energy: -5.04 eV per atom
Total magnetic moment: 8.000 Bohr magnetons per cell

POSCAR file:
```
AlCoPdF6
1.0
-0.165 2.351 4.689
-2.725 -4.409 -0.822
7.727 -5.323 2.940
Al Co Pd F
2 2 2 12
Direct
0.667 0.333 0.250 Al
0.333 0.667 0.750 Al
0.333 0.667 0.250 Co
0.667 0.333 0.750 Co
0.000 0.000 0.000 Pd
0.000 0.000 0.500 Pd
0.648 0.613 0.145 F
0.965 0.352 0.145 F
0.352 0.965 0.645 F
0.035 0.648 0.855 F
0.387 0.352 0.355 F
0.965 0.613 0.355 F
0.613 0.965 0.855 F
0.648 0.035 0.355 F
0.035 0.387 0.645 F
0.387 0.035 0.145 F
0.613 0.648 0.645 F
0.352 0.387 0.855 F
```



Which of these has the lowest electronic total energy?
Sr4MgMn2Cu3S4O4



Which value of total magnetic moment does entry 2 give?
8.000 Bohr magnetons per cell



electronic total energy of number 1 (Sr4MgMn2Cu3S4O4)?
-5.32 eV per atom